[1]
Below is an optimized crystal structure of BeSnRuBr2, with properties calculated at the PBE level.

Raw total energy, Ry/atom: -0.2447
E_form (uncorrected), eV per atom: 0.74
Magnetization, μB/f.u.: 0.5
Density of states at the Fermi level, states/eV/f.u.: 4.29

abc: 5.052 5.052 5.202
angles: 90.00 90.00 90.00
Space group P4/mmm (No. 123)
Asymmetric unit:
Be1 0.000 0.000 0.000 x1
Sn1 0.500 0.500 0.000 x1
Ru1 0.500 0.500 0.500 x1
Br1 0.000 0.500 0.500 x2

[2]
Below is an optimized crystal structure of Be2TeRuBr, with properties calculated at the PBE level.

Raw total energy, Ry/atom: -0.2505
E_form (uncorrected), eV per atom: 0.90
Magnetization, μB/f.u.: 0.0
Density of states at the Fermi level, states/eV/f.u.: 4.08

abc: 4.649 4.649 4.631
angles: 90.00 90.00 90.00
Space group P4/mmm (No. 123)
Asymmetric unit:
Be1 0.000 0.500 0.000 x2
Te1 0.000 0.000 0.500 x1
Ru1 0.500 0.500 0.000 x1
Br1 0.500 0.500 0.500 x1

[3]
Below is an optimized crystal structure of BeS3Br, with properties calculated at the PBE level.

Raw total energy, Ry/atom: -0.1532
E_form (uncorrected), eV per atom: 1.47
Magnetization, μB/f.u.: 0.0
Relative energy among the computed polymorphs, meV/atom: 898
Density of states at the Fermi level, states/eV/f.u.: 6.01

abc: 4.822 4.822 4.822
angles: 90.00 90.00 90.00
Space group Pm-3m (No. 221)
Asymmetric unit:
Be1 0.000 0.000 0.000 x1
S1 0.000 0.500 0.500 x3
Br1 0.500 0.500 0.500 x1

[4]
Below is an optimized crystal structure of BeS6Br2, with properties calculated at the PBE level.

Raw total energy, Ry/atom: -0.2710
E_form (uncorrected), eV per atom: -0.15
Magnetization, μB/f.u.: 0.0
Density of states at the Fermi level, states/eV/f.u.: 0.00

abc: 3.821 7.916 7.946
angles: 118.43 91.08 91.03
Space group P-1 (No. 2)
Asymmetric unit:
Be1 0.000 0.000 0.000 x1
S1 0.118 0.493 0.737 x2
S2 0.118 0.738 0.495 x2
S3 0.127 0.276 0.276 x2
Br1 0.500 0.124 0.878 x2

[5]
Below is an optimized crystal structure of BeS3Br, with properties calculated at the PBE level.

Raw total energy, Ry/atom: -0.2192
E_form (uncorrected), eV per atom: 0.57
Magnetization, μB/f.u.: 0.0
Relative energy among the computed polymorphs, meV/atom: 0
Density of states at the Fermi level, states/eV/f.u.: 3.56

abc: 4.402 4.402 4.402
angles: 90.00 90.00 90.00
Space group Pm-3m (No. 221)
Asymmetric unit:
Be1 0.000 0.000 0.000 x1
S1 0.000 0.000 0.500 x3
Br1 0.500 0.500 0.500 x1

[6]
Below is an optimized crystal structure of Be3SBr, with properties calculated at the PBE level.

Raw total energy, Ry/atom: -0.1914
E_form (uncorrected), eV per atom: 0.79
Magnetization, μB/f.u.: 0.0
Relative energy among the computed polymorphs, meV/atom: 0
Density of states at the Fermi level, states/eV/f.u.: 2.93

abc: 4.314 4.314 4.314
angles: 90.00 90.00 90.00
Space group Pm-3m (No. 221)
Asymmetric unit:
Be1 0.000 0.000 0.500 x3
S1 0.000 0.000 0.000 x1
Br1 0.500 0.500 0.500 x1

[7]
Below is an optimized crystal structure of BeS4Br, with properties calculated at the PBE level.

Raw total energy, Ry/atom: -0.2783
E_form (uncorrected), eV per atom: -0.14
Magnetization, μB/f.u.: 0.0
Density of states at the Fermi level, states/eV/f.u.: 1.49

abc: 7.582 7.631 7.994
angles: 66.58 64.46 86.49
Space group P-1 (No. 2)
Asymmetric unit:
Be1 0.008 0.228 0.156 x2
S1 0.052 0.986 0.369 x2
S2 0.117 0.966 0.900 x2
S3 0.182 0.590 0.728 x2
S4 0.245 0.438 0.970 x2
Br1 0.480 0.759 0.475 x2

[8]
Below is an optimized crystal structure of BeSeSBr2, with properties calculated at the PBE level.

Raw total energy, Ry/atom: -0.1543
E_form (uncorrected), eV per atom: 0.84
Magnetization, μB/f.u.: 0.0
Relative energy among the computed polymorphs, meV/atom: 446
Density of states at the Fermi level, states/eV/f.u.: 4.61

abc: 5.017 5.017 5.060
angles: 90.00 90.00 90.00
Space group P4/mmm (No. 123)
Asymmetric unit:
Be1 0.000 0.000 0.000 x1
Se1 0.500 0.500 0.000 x1
S1 0.500 0.500 0.500 x1
Br1 0.000 0.500 0.500 x2

[9]
Below is an optimized crystal structure of BeSeSBr2, with properties calculated at the PBE level.

Raw total energy, Ry/atom: -0.1871
E_form (uncorrected), eV per atom: 0.39
Magnetization, μB/f.u.: 0.4
Relative energy among the computed polymorphs, meV/atom: 0
Density of states at the Fermi level, states/eV/f.u.: 4.72

abc: 4.408 4.408 5.686
angles: 90.00 90.00 90.00
Space group P4/mmm (No. 123)
Asymmetric unit:
Be1 0.000 0.000 0.000 x1
Se1 0.000 0.000 0.500 x1
S1 0.500 0.500 0.500 x1
Br1 0.000 0.500 0.000 x2

[10]
Below is an optimized crystal structure of Be2SeSBr, with properties calculated at the PBE level.

Raw total energy, Ry/atom: -0.1899
E_form (uncorrected), eV per atom: 0.76
Magnetization, μB/f.u.: 0.0
Density of states at the Fermi level, states/eV/f.u.: 4.14

abc: 4.522 4.522 4.811
angles: 90.00 90.00 90.00
Space group P4/mmm (No. 123)
Asymmetric unit:
Be1 0.000 0.500 0.000 x2
Se1 0.000 0.000 0.500 x1
S1 0.000 0.000 0.000 x1
Br1 0.500 0.500 0.500 x1

[11]
Below is an optimized crystal structure of BeZnSBr, with properties calculated at the PBE level.

Raw total energy, Ry/atom: -0.2291
E_form (uncorrected), eV per atom: -0.42
Magnetization, μB/f.u.: 0.0
Relative energy among the computed polymorphs, meV/atom: 43
Density of states at the Fermi level, states/eV/f.u.: 2.43

abc: 3.537 3.537 7.390
angles: 89.96 89.92 60.03
Space group P1 (No. 1)
Asymmetric unit:
Be1 0.000 0.000 0.000 x1
Zn1 0.669 0.662 0.426 x1
S1 0.666 0.667 0.081 x1
Br1 0.003 0.998 0.691 x1

[12]
Below is an optimized crystal structure of BeZnSBr, with properties calculated at the PBE level.

Raw total energy, Ry/atom: -0.2181
E_form (uncorrected), eV per atom: -0.27
Magnetization, μB/f.u.: 0.0
Relative energy among the computed polymorphs, meV/atom: 193
Density of states at the Fermi level, states/eV/f.u.: 1.39

abc: 6.216 4.365 6.086
angles: 90.00 105.46 90.00
Space group Cm (No. 8)
Asymmetric unit:
Be1 0.000 0.000 0.000 x2
Zn1 0.232 0.000 0.511 x2
S1 0.411 0.500 0.654 x2
Br1 0.158 0.500 0.105 x2

no.,V (Å³/atom)
1,26.55
2,20.02
3,22.42
4,23.47
5,17.06
6,16.06
7,31.63
8,25.47
9,22.10
10,19.67
11,20.02
12,19.90